No. 1
The following is a PBE calculation of Tl3IBr6 after structural relaxation, from Alexandria via LeMat-Bulk.

Computed properties:
* total moment: 0.000 Bohr magnetons per cell
* V: 801.1 Å³ per cell
* formation energy from raw total energies: -0.523 eV per atom
* ΔE to the lowest computed polymorph: 0 meV/atom
* DFT total energy: -2.39 eV per atom

a = 5.292 Å, b = 8.674 Å, c = 17.886 Å
α = 90.00°, β = 102.65°, γ = 90.00°
Space group P2_1/c (No. 14)
Inequivalent atoms, fractional coordinates:
Tl 0.000 0.000 0.000 (multiplicity 2)
Tl 0.189 0.178 0.729 (multiplicity 4)
I 0.500 0.000 0.500 (multiplicity 2)
Br 0.112 0.154 0.402 (multiplicity 4)
Br 0.259 0.540 0.689 (multiplicity 4)
Br 0.406 0.734 0.418 (multiplicity 4)



No. 2
The following is a PBE calculation of SrCaLa2Cu after structural relaxation, from Alexandria via LeMat-Bulk.

Computed properties:
* total moment: 0.002 Bohr magnetons per cell
* formation energy from the elements: 36 kJ/mol of formula units
* V: 193.6 Å³ per cell
* ΔE to the lowest computed polymorph: 0 meV/atom
* DFT total energy: -3.45 eV per atom

a = 5.763 Å, b = 5.763 Å, c = 5.828 Å
α = 90.00°, β = 90.00°, γ = 90.00°
Space group P4/mmm (No. 123)
Inequivalent atoms, fractional coordinates:
Sr 0.000 0.000 0.000 (multiplicity 1)
Ca 0.500 0.500 0.000 (multiplicity 1)
La 0.000 0.500 0.500 (multiplicity 2)
Cu 0.500 0.500 0.500 (multiplicity 1)



No. 3
The following is a PBE calculation of RbTl2In10 after structural relaxation, from Alexandria via LeMat-Bulk.

Computed properties:
* total moment: 0.000 Bohr magnetons per cell
* formation energy from the elements: -1 kJ/mol of formula units
* V: 1575.6 Å³ per cell
* DFT total energy: -2.55 eV per atom

a = 6.556 Å, b = 15.308 Å, c = 15.700 Å
α = 90.00°, β = 90.00°, γ = 90.00°
Space group Fmmm (No. 69)
Inequivalent atoms, fractional coordinates:
Rb 0.000 0.000 0.000 (multiplicity 4)
Tl 0.250 0.250 0.000 (multiplicity 8)
In 0.000 0.107 0.388 (multiplicity 16)
In 0.000 0.178 0.182 (multiplicity 16)
In 0.250 0.000 0.250 (multiplicity 8)



No. 4
The following is a PBE calculation of Ac2Sn3Ge4 after structural relaxation, from Alexandria via LeMat-Bulk.

Computed properties:
* total moment: 0.000 Bohr magnetons per cell
* formation energy from the elements: -273 kJ/mol of formula units
* V: 951.6 Å³ per cell
* DFT total energy: -4.61 eV per atom

a = 6.664 Å, b = 16.159 Å, c = 8.837 Å
α = 90.00°, β = 90.00°, γ = 90.00°
Space group Cmce (No. 64)
Inequivalent atoms, fractional coordinates:
Ac 0.000 0.118 0.077 (multiplicity 8)
Sn 0.000 0.000 0.500 (multiplicity 4)
Sn 0.250 0.210 0.750 (multiplicity 8)
Ge 0.000 0.182 0.456 (multiplicity 8)
Ge 0.250 0.039 0.750 (multiplicity 8)



No. 5
The following is a PBE calculation of YZrOs after structural relaxation, from Alexandria via LeMat-Bulk.

Computed properties:
* total moment: 0.000 Bohr magnetons per cell
* formation energy from the elements: -70 kJ/mol of formula units
* V: 261.9 Å³ per cell
* ΔE to the lowest computed polymorph: 47 meV/atom
* DFT total energy: -8.99 eV per atom

a = 5.895 Å, b = 6.127 Å, c = 7.250 Å
α = 90.00°, β = 90.00°, γ = 90.00°
Space group Imma (No. 74)
Inequivalent atoms, fractional coordinates:
Y 0.000 0.250 0.097 (multiplicity 4)
Zr 0.000 0.000 0.500 (multiplicity 4)
Os 0.250 0.250 0.750 (multiplicity 4)



No. 6
The following is a PBE calculation of Ac3PrTc2N6 after structural relaxation, from Alexandria via LeMat-Bulk.

Computed properties:
* total moment: 0.000 Bohr magnetons per cell
* V: 231.9 Å³ per cell
* formation energy from raw total energies: -0.680 eV per atom
* DFT total energy: -8.00 eV per atom

a = 6.1100 Å, b = 6.1100 Å, c = 7.1721 Å
α = 90.00°, β = 90.00°, γ = 120.00°
Space group P-3m1 (No. 164)
Inequivalent atoms, fractional coordinates:
Ac 0.0000 0.0000 0.0000 (multiplicity 1)
Ac 0.3333 0.6667 0.7067 (multiplicity 2)
Pr 0.0000 0.0000 0.5000 (multiplicity 1)
Tc 0.3333 0.6667 0.1852 (multiplicity 2)
N 0.1711 0.3421 0.2748 (multiplicity 6)



No. 7
The following is a PBE calculation of Li2FeHRu after structural relaxation, from Alexandria via LeMat-Bulk.

Computed properties:
* total moment: 2.084 Bohr magnetons per cell
* V: 95.4 Å³ per cell
* DFT total energy: -3.74 eV per atom

a = 4.757 Å, b = 4.757 Å, c = 4.214 Å
α = 90.00°, β = 90.00°, γ = 90.00°
Space group P4/mmm (No. 123)
Inequivalent atoms, fractional coordinates:
Li 0.000 0.500 0.000 (multiplicity 2)
Fe 0.000 0.000 0.000 (multiplicity 1)
H 0.500 0.500 0.500 (multiplicity 1)
Ru 0.000 0.000 0.500 (multiplicity 1)



No. 8
The following is a PBE calculation of Si2TcMo after structural relaxation, from Alexandria via LeMat-Bulk.

Computed properties:
* total moment: 0.000 Bohr magnetons per cell
* V: 218.0 Å³ per cell
* formation energy from raw total energies: -0.250 eV per atom
* ΔE to the lowest computed polymorph: 199 meV/atom
* DFT total energy: -8.26 eV per atom

a = 6.018 Å, b = 6.018 Å, c = 6.018 Å
α = 90.00°, β = 90.00°, γ = 90.00°
Space group Fm-3m (No. 225)
Inequivalent atoms, fractional coordinates:
Si 0.250 0.250 0.250 (multiplicity 8)
Tc 0.000 0.000 0.000 (multiplicity 4)
Mo 0.000 0.000 0.500 (multiplicity 4)



No. 9
The following is a PBE calculation of RhSe2Cl after structural relaxation, from Alexandria via LeMat-Bulk.

Computed properties:
* total moment: 0.000 Bohr magnetons per cell
* V: 278.6 Å³ per cell
* formation energy from raw total energies: 0.394 eV per atom
* ΔE to the lowest computed polymorph: 734 meV/atom
* DFT total energy: -3.65 eV per atom

a = 6.531 Å, b = 6.531 Å, c = 6.531 Å
α = 90.00°, β = 90.00°, γ = 90.00°
Space group Fm-3m (No. 225)
Inequivalent atoms, fractional coordinates:
Rh 0.000 0.000 0.000 (multiplicity 4)
Se 0.250 0.250 0.250 (multiplicity 8)
Cl 0.000 0.000 0.500 (multiplicity 4)



No. 10
The following is a PBE calculation of CaY2ZnN after structural relaxation, from Alexandria via LeMat-Bulk.

Computed properties:
* total moment: 0.000 Bohr magnetons per cell
* V: 111.7 Å³ per cell
* formation energy from raw total energies: -0.685 eV per atom
* DFT total energy: -5.59 eV per atom

a = 4.780 Å, b = 4.780 Å, c = 4.891 Å
α = 90.00°, β = 90.00°, γ = 90.00°
Space group P4/mmm (No. 123)
Inequivalent atoms, fractional coordinates:
Ca 0.000 0.000 0.000 (multiplicity 1)
Y 0.000 0.500 0.500 (multiplicity 2)
Zn 0.500 0.500 0.000 (multiplicity 1)
N 0.000 0.000 0.500 (multiplicity 1)



No. 11
The following is a PBE calculation of Tb3Dy2Tm5 after structural relaxation, from Alexandria via LeMat-Bulk.

Computed properties:
* total moment: 0.000 Bohr magnetons per cell
* formation energy from the elements: 195 kJ/mol of formula units
* V: 1270.2 Å³ per cell
* ΔE to the lowest computed polymorph: 0 meV/atom
* DFT total energy: -4.34 eV per atom

a = 10.565 Å, b = 15.545 Å, c = 9.365 Å
α = 90.00°, β = 124.32°, γ = 90.00°
Space group C2/c (No. 15)
Inequivalent atoms, fractional coordinates:
Tb 0.000 0.231 0.250 (multiplicity 4)
Tb 0.150 0.122 0.048 (multiplicity 8)
Dy 0.148 0.379 0.548 (multiplicity 8)
Tm 0.000 0.027 0.250 (multiplicity 4)
Tm 0.000 0.270 0.750 (multiplicity 4)
Tm 0.000 0.474 0.750 (multiplicity 4)
Tm 0.248 0.115 0.748 (multiplicity 8)



No. 12
The following is a PBE calculation of AlHSe2 after structural relaxation, from Alexandria via LeMat-Bulk.

Computed properties:
* total moment: 0.000 Bohr magnetons per cell
* V: 1581.6 Å³ per cell
* ΔE to the lowest computed polymorph: 7 meV/atom
* DFT total energy: -4.06 eV per atom

a = 10.832 Å, b = 11.036 Å, c = 13.234 Å
α = 90.00°, β = 91.25°, γ = 90.00°
Space group C2/c (No. 15)
Inequivalent atoms, fractional coordinates:
Al 0.102 0.123 0.146 (multiplicity 8)
Al 0.114 0.374 0.352 (multiplicity 8)
H 0.155 0.097 0.513 (multiplicity 8)
H 0.197 0.329 0.699 (multiplicity 8)
Se 0.000 0.015 0.750 (multiplicity 4)
Se 0.000 0.489 0.750 (multiplicity 4)
Se 0.013 0.247 0.470 (multiplicity 8)
Se 0.249 0.004 0.040 (multiplicity 8)
Se 0.250 0.236 0.769 (multiplicity 8)



No. 13
The following is a PBE calculation of Rb2DySbO6 after structural relaxation, from Alexandria via LeMat-Bulk.

Computed properties:
* total moment: 8.167 Bohr magnetons per cell
* V: 633.9 Å³ per cell
* formation energy from raw total energies: -1.798 eV per atom
* DFT total energy: -5.84 eV per atom

a = 8.590 Å, b = 8.590 Å, c = 8.590 Å
α = 90.00°, β = 90.00°, γ = 90.00°
Space group Fm-3m (No. 225)
Inequivalent atoms, fractional coordinates:
Rb 0.250 0.250 0.250 (multiplicity 8)
Dy 0.000 0.000 0.000 (multiplicity 4)
Sb 0.000 0.000 0.500 (multiplicity 4)
O 0.000 0.000 0.266 (multiplicity 24)



No. 14
The following is a PBE calculation of Li6HgAu12 after structural relaxation, from Alexandria via LeMat-Bulk.

Computed properties:
* total moment: 0.000 Bohr magnetons per cell
* formation energy from the elements: -592 kJ/mol of formula units
* V: 1042.0 Å³ per cell
* ΔE to the lowest computed polymorph: 0 meV/atom
* DFT total energy: -3.01 eV per atom

a = 12.0283 Å, b = 12.0283 Å, c = 8.3164 Å
α = 90.00°, β = 90.00°, γ = 120.00°
Space group R-3 (No. 148, hexagonal axes)
Inequivalent atoms, fractional coordinates:
Li 0.0481 0.2147 0.2490 (multiplicity 18)
Hg 0.0000 0.0000 0.5000 (multiplicity 3)
Au 0.0482 0.2462 0.5747 (multiplicity 18)
Au 0.0624 0.2325 0.9241 (multiplicity 18)



No. 15
The following is a PBE calculation of NaAg2TeBr8 after structural relaxation, from Alexandria via LeMat-Bulk.

Computed properties:
* total moment: 0.002 Bohr magnetons per cell
* V: 392.8 Å³ per cell
* formation energy from raw total energies: -0.482 eV per atom
* DFT total energy: -2.44 eV per atom

a = 6.745 Å, b = 8.202 Å, c = 7.163 Å
α = 90.00°, β = 97.59°, γ = 90.00°
Space group P2/m (No. 10)
Inequivalent atoms, fractional coordinates:
Na 0.000 0.000 0.000 (multiplicity 1)
Ag 0.500 0.242 0.500 (multiplicity 2)
Te 0.000 0.500 0.000 (multiplicity 1)
Br 0.220 0.269 0.851 (multiplicity 4)
Br 0.255 0.000 0.374 (multiplicity 2)
Br 0.280 0.500 0.344 (multiplicity 2)



No. 16
The following is a PBE calculation of Tb2SmSc after structural relaxation, from Alexandria via LeMat-Bulk.

Computed properties:
* total moment: 0.000 Bohr magnetons per cell
* formation energy from the elements: 15 kJ/mol of formula units
* V: 121.4 Å³ per cell
* ΔE to the lowest computed polymorph: 4 meV/atom
* DFT total energy: -5.04 eV per atom

a = 4.936 Å, b = 4.936 Å, c = 4.981 Å
α = 90.00°, β = 90.00°, γ = 90.00°
Space group P4/mmm (No. 123)
Inequivalent atoms, fractional coordinates:
Tb 0.000 0.500 0.000 (multiplicity 2)
Sm 0.000 0.000 0.500 (multiplicity 1)
Sc 0.500 0.500 0.500 (multiplicity 1)



No. 17
The following is a PBE calculation of HfTa4Mn2 after structural relaxation, from Alexandria via LeMat-Bulk.

Computed properties:
* total moment: 4.626 Bohr magnetons per cell
* formation energy from the elements: 1126 kJ/mol of formula units
* V: 293.8 Å³ per cell
* DFT total energy: -9.15 eV per atom

a = 4.868 Å, b = 4.868 Å, c = 12.398 Å
α = 90.00°, β = 90.00°, γ = 90.00°
Space group I4/mmm (No. 139)
Inequivalent atoms, fractional coordinates:
Hf 0.000 0.000 0.000 (multiplicity 2)
Ta 0.000 0.000 0.210 (multiplicity 4)
Ta 0.000 0.500 0.000 (multiplicity 4)
Mn 0.000 0.000 0.393 (multiplicity 4)



No. 18
The following is a PBE calculation of V3BiSe after structural relaxation, from Alexandria via LeMat-Bulk.

Computed properties:
* total moment: 9.992 Bohr magnetons per cell
* V: 142.4 Å³ per cell
* formation energy from raw total energies: 1.390 eV per atom
* ΔE to the lowest computed polymorph: 843 meV/atom
* DFT total energy: -5.55 eV per atom

a = 5.222 Å, b = 5.222 Å, c = 5.222 Å
α = 90.00°, β = 90.00°, γ = 90.00°
Space group Pm-3m (No. 221)
Inequivalent atoms, fractional coordinates:
V 0.000 0.000 0.500 (multiplicity 3)
Bi 0.000 0.000 0.000 (multiplicity 1)
Se 0.500 0.500 0.500 (multiplicity 1)



No. 19
The following is a PBE calculation of SiBiB2 after structural relaxation, from Alexandria via LeMat-Bulk.

Computed properties:
* total moment: 0.000 Bohr magnetons per cell
* V: 238.4 Å³ per cell
* formation energy from raw total energies: 1.646 eV per atom
* ΔE to the lowest computed polymorph: 1077 meV/atom
* DFT total energy: -4.02 eV per atom

a = 6.201 Å, b = 6.201 Å, c = 6.201 Å
α = 90.00°, β = 90.00°, γ = 90.00°
Space group Fm-3m (No. 225)
Inequivalent atoms, fractional coordinates:
Si 0.000 0.000 0.000 (multiplicity 4)
Bi 0.000 0.000 0.500 (multiplicity 4)
B 0.250 0.250 0.250 (multiplicity 8)



No. 20
The following is a PBE calculation of Sm4Al after structural relaxation, from Alexandria via LeMat-Bulk.

Computed properties:
* total moment: 0.002 Bohr magnetons per cell
* formation energy from the elements: 232 kJ/mol of formula units
* V: 1452.8 Å³ per cell
* ΔE to the lowest computed polymorph: 408 meV/atom
* DFT total energy: -4.04 eV per atom

a = 11.326 Å, b = 11.326 Å, c = 11.326 Å
α = 90.00°, β = 90.00°, γ = 90.00°
Space group Fd-3m (No. 227, origin choice 2)
Inequivalent atoms, fractional coordinates:
Sm 0.019 0.019 0.231 (multiplicity 32)
Al 0.125 0.125 0.625 (multiplicity 8)